{"formula": "KFe2Co", "functional": "PBE", "state": "optimized geometry", "total_energy_ev_per_cell": -22.4, "spacegroup": "Cm", "ef_mev_per_atom": 688, "cell": [[4.327, -0.027, -0.008], [3.429, 2.638, -0.008], [0.551, 0.185, 6.931]], "species": ["K", "Fe", "Fe", "Co"], "frac_coords": [[0.497, 0.497, 0.505], [0.271, 0.271, 0.131], [0.002, 0.002, 0.990], [0.731, 0.731, 0.874]]}

---

{"formula": "KFe2Co", "functional": "PBE", "state": "optimized geometry", "total_energy_ev_per_cell": -21.4, "spacegroup": "Immm", "ef_mev_per_atom": 938, "cell": [[-4.294, -3.820, -1.121], [-0.002, -5.154, 2.779], [-0.445, 5.833, -0.263]], "species": ["Fe", "Fe", "Co", "K"], "frac_coords": [[0.448, 0.448, 0.000], [0.052, 0.052, 0.000], [0.250, 0.750, 0.500], [0.750, 0.250, 0.500]]}

---

{"formula": "K4FeCo", "functional": "PBE", "state": "optimized geometry", "total_energy_ev_per_cell": -12.1, "spacegroup": "F-43m", "ef_mev_per_atom": 1313, "cell": [[0.000, 5.090, 5.090], [5.090, 0.000, 5.090], [5.090, 5.090, 0.000]], "species": ["Co", "K", "K", "K", "K", "Fe"], "frac_coords": [[0.750, 0.750, 0.750], [0.375, 0.375, 0.874], [0.375, 0.375, 0.375], [0.874, 0.375, 0.375], [0.375, 0.874, 0.375], [0.000, 0.000, 0.000]]}

---

{"formula": "K2FeCo", "functional": "PBE", "state": "optimized geometry", "total_energy_ev_per_cell": -12.0, "spacegroup": "Fm-3m", "ef_mev_per_atom": 1447, "cell": [[0.000, 3.989, 3.989], [3.989, 0.000, 3.989], [3.989, 3.989, 0.000]], "species": ["K", "K", "Fe", "Co"], "frac_coords": [[0.750, 0.750, 0.750], [0.250, 0.250, 0.250], [0.000, 0.000, 0.000], [0.500, 0.500, 0.500]]}

---

{"formula": "KFe2Co", "functional": "PBE", "state": "optimized geometry", "total_energy_ev_per_cell": -20.5, "spacegroup": "C2/m", "ef_mev_per_atom": 1154, "cell": [[-0.260, 1.977, -4.830], [4.065, -3.506, 1.048], [-0.909, -2.144, -1.079]], "species": ["Fe", "Fe", "K", "Co"], "frac_coords": [[0.500, 0.000, 0.500], [0.000, 0.000, 0.000], [0.000, 0.500, 0.500], [0.500, 0.500, 0.000]]}

---

{"formula": "KFe2Co", "functional": "PBE", "state": "optimized geometry", "total_energy_ev_per_cell": -21.2, "spacegroup": "Imm2", "ef_mev_per_atom": 993, "cell": [[5.768, -0.196, -0.013], [2.865, 5.009, 0.013], [-3.436, -3.986, 2.369]], "species": ["K", "Fe", "Fe", "Co"], "frac_coords": [[0.495, 0.495, 0.000], [0.006, 0.006, 0.000], [0.796, 0.296, 0.500], [0.204, 0.704, 0.500]]}

---

Repeat the first record exactly.
{"formula": "KFe2Co", "functional": "PBE", "state": "optimized geometry", "total_energy_ev_per_cell": -22.4, "spacegroup": "Cm", "ef_mev_per_atom": 688, "cell": [[4.327, -0.027, -0.008], [3.429, 2.638, -0.008], [0.551, 0.185, 6.931]], "species": ["K", "Fe", "Fe", "Co"], "frac_coords": [[0.497, 0.497, 0.505], [0.271, 0.271, 0.131], [0.002, 0.002, 0.990], [0.731, 0.731, 0.874]]}

---

Copy entry 1 word for word.
{"formula": "KFe2Co", "functional": "PBE", "state": "optimized geometry", "total_energy_ev_per_cell": -22.4, "spacegroup": "Cm", "ef_mev_per_atom": 688, "cell": [[4.327, -0.027, -0.008], [3.429, 2.638, -0.008], [0.551, 0.185, 6.931]], "species": ["K", "Fe", "Fe", "Co"], "frac_coords": [[0.497, 0.497, 0.505], [0.271, 0.271, 0.131], [0.002, 0.002, 0.990], [0.731, 0.731, 0.874]]}